Run P
Computed, not measured: a relaxed structure of KIrSO at the PBE level of DFT.

a = 4.0737 Å, b = 6.7506 Å, c = 6.4438 Å
α = 90.00°, β = 90.00°, γ = 90.00°
Positions (direct):
K 0.0000 0.1617 0.0000
K 0.0000 0.8383 0.5000
Ir 0.5000 0.4313 0.4259
Ir 0.5000 0.5687 0.9259
S 0.0000 0.3072 0.5152
S 0.0000 0.6928 0.0152
O 0.5000 0.3512 0.1355
O 0.5000 0.6488 0.6355



Run Q
Computed, not measured: a relaxed structure of KIrSO at the PBE level of DFT.

a = 6.5208 Å, b = 8.7119 Å, c = 5.8051 Å
α = 90.00°, β = 90.00°, γ = 90.00°
Positions (direct):
K 0.0792 0.1333 0.0000
K 0.4208 0.1333 0.5000
K 0.5792 0.8667 0.0000
K 0.9208 0.8667 0.5000
Ir 0.0855 0.6404 0.9855
Ir 0.4145 0.6404 0.4855
Ir 0.5855 0.3596 0.9855
Ir 0.9145 0.3596 0.4855
S 0.1085 0.5540 0.6215
S 0.3915 0.5540 0.1215
S 0.6085 0.4460 0.6215
S 0.8915 0.4460 0.1215
O 0.0124 0.1563 0.5326
O 0.4876 0.1563 0.0326
O 0.5124 0.8437 0.5326
O 0.9876 0.8437 0.0326



Run R
Computed, not measured: a relaxed structure of KIrSO at the PBE level of DFT.

a = 3.8157 Å, b = 3.8157 Å, c = 8.7126 Å
α = 90.00°, β = 90.00°, γ = 90.00°
Positions (direct):
K 0.2500 0.7500 0.0000
K 0.7500 0.2500 0.0000
Ir 0.2500 0.2500 0.3725
Ir 0.7500 0.7500 0.6275
S 0.2500 0.2500 0.7407
S 0.7500 0.7500 0.2593
O 0.2500 0.7500 0.5000
O 0.7500 0.2500 0.5000



Quick one: least stable of them? run R



Run P
Computed, not measured: a relaxed structure of KIrPd at the PBE level of DFT.

a = 6.6153 Å, b = 6.6153 Å, c = 6.6153 Å
α = 90.00°, β = 90.00°, γ = 90.00°
Positions (direct):
K 0.0000 0.0000 0.0000
K 0.0000 0.5000 0.5000
K 0.5000 0.0000 0.5000
K 0.5000 0.5000 0.0000
Ir 0.2500 0.2500 0.7500
Ir 0.2500 0.7500 0.2500
Ir 0.7500 0.2500 0.2500
Ir 0.7500 0.7500 0.7500
Pd 0.2500 0.2500 0.2500
Pd 0.2500 0.7500 0.7500
Pd 0.7500 0.2500 0.7500
Pd 0.7500 0.7500 0.2500



Run Q
Computed, not measured: a relaxed structure of KIrPd at the PBE level of DFT.

a = 6.5725 Å, b = 6.5725 Å, c = 6.5725 Å
α = 90.00°, β = 90.00°, γ = 90.00°
Positions (direct):
K 0.0000 0.0000 0.0000
K 0.0000 0.5000 0.5000
K 0.5000 0.0000 0.5000
K 0.5000 0.5000 0.0000
Ir 0.0000 0.0000 0.5000
Ir 0.0000 0.5000 0.0000
Ir 0.5000 0.0000 0.0000
Ir 0.5000 0.5000 0.5000
Pd 0.2500 0.2500 0.7500
Pd 0.2500 0.7500 0.2500
Pd 0.7500 0.2500 0.2500
Pd 0.7500 0.7500 0.7500



Quick one: least stable of them? run P



Run P
Computed, not measured: a relaxed structure of KIrPt at the PBE level of DFT.

a = 6.4899 Å, b = 6.4899 Å, c = 6.4899 Å
α = 90.00°, β = 90.00°, γ = 90.00°
Positions (direct):
K 0.0000 0.0000 0.0000
K 0.0000 0.5000 0.5000
K 0.5000 0.0000 0.5000
K 0.5000 0.5000 0.0000
Ir 0.2500 0.2500 0.2500
Ir 0.2500 0.7500 0.7500
Ir 0.7500 0.2500 0.7500
Ir 0.7500 0.7500 0.2500
Pt 0.0000 0.0000 0.5000
Pt 0.0000 0.5000 0.0000
Pt 0.5000 0.0000 0.0000
Pt 0.5000 0.5000 0.5000



Run Q
Computed, not measured: a relaxed structure of KIrPt at the PBE level of DFT.

a = 6.5044 Å, b = 6.5044 Å, c = 6.5044 Å
α = 90.00°, β = 90.00°, γ = 90.00°
Positions (direct):
K 0.0000 0.0000 0.0000
K 0.0000 0.5000 0.5000
K 0.5000 0.0000 0.5000
K 0.5000 0.5000 0.0000
Ir 0.2500 0.2500 0.7500
Ir 0.2500 0.7500 0.2500
Ir 0.7500 0.2500 0.2500
Ir 0.7500 0.7500 0.7500
Pt 0.2500 0.2500 0.2500
Pt 0.2500 0.7500 0.7500
Pt 0.7500 0.2500 0.7500
Pt 0.7500 0.7500 0.2500



Quick one: least stable of them? run Q